(1)
Entry from Alexandria via LeMat-Bulk: an optimized crystal structure of BaOs3O (PBE-GGA).

Unit cell a=4.389 b=4.389 c=4.389 alpha=90.00 beta=90.00 gamma=90.00
Atoms (fractional coordinates):
Os: 0.000 0.500 0.000
Os: 0.000 0.000 0.500
Os: 0.500 0.000 0.000
Ba: 0.500 0.500 0.500
O: 0.000 0.000 0.000

Properties
- Energy: -6.738 eV per atom
- SG: No. 221
- Formation energy without anion corrections: 132.8 kJ per mole of atoms
- Density of states at the Fermi level: 6.2 states/eV per cell
- Crystal system: cubic
- Calculated density: 14.2 Mg/m³

(2)
Entry from Alexandria via LeMat-Bulk: an optimized crystal structure of Ba3OsO5 (PBE-GGA).

Unit cell a=7.287 b=7.287 c=8.263 alpha=116.17 beta=116.17 gamma=90.00
Each line ends with the local moment (μB).
Atoms (fractional coordinates):
Ba: 0.682 0.182 0.000  0.01
Ba: 0.318 0.818 0.000  0.01
Ba: 0.818 0.682 0.000  0.01
Ba: 0.182 0.318 0.000  0.01
Ba: 0.250 0.250 0.500  0.00
Ba: 0.750 0.750 0.500  0.00
Os: 0.750 0.250 0.500  1.18
Os: 0.250 0.750 0.500  1.18
O: 0.985 0.485 0.717  0.12
O: 0.733 0.233 0.717  0.12
O: 0.233 0.985 0.717  0.12
O: 0.485 0.733 0.717  0.12
O: 0.015 0.515 0.283  0.12
O: 0.267 0.767 0.283  0.12
O: 0.767 0.015 0.283  0.12
O: 0.515 0.267 0.283  0.12
O: 0.500 0.500 0.000  0.03
O: 0.000 0.000 0.000  0.03

Properties
- Energy: -6.559 eV per atom
- SG: No. 140
- Formation energy without anion corrections: -184.8 kJ per mole of atoms
- Density of states at the Fermi level: 9.4 states/eV per cell
- Crystal system: tetragonal
- Calculated density: 6.6 Mg/m³